(a)
First-principles (GGA-PBE) data for a relaxed ZnGa3N crystal, as listed in the Alexandria database.

## Properties
- space-group type = No. 221
- size of the total moment (μB per cell) = 1.2
- mass density (g/cm3) = 4.39

Structure (CIF):
```
data_ZnGa3N
_space_group_name_H-M_alt 'P 1'
_space_group_IT_number 1
_space_group_name_Hall 'P 1'
_cell_length_a 4.778
_cell_length_b 4.778
_cell_length_c 4.778
_cell_angle_alpha 90.00
_cell_angle_beta 90.00
_cell_angle_gamma 90.00
loop_
_atom_site_label
_atom_site_type_symbol
_atom_site_fract_x
_atom_site_fract_y
_atom_site_fract_z
Zn1 Zn 0.000 0.000 0.000
Ga1 Ga 0.000 0.500 0.000
Ga2 Ga 0.000 0.000 0.500
Ga3 Ga 0.500 0.000 0.000
N1 N 0.500 0.500 0.500
```

=====

(b)
First-principles (GGA-PBE) data for a relaxed ZnGa3N crystal, as listed in the Alexandria database.

## Properties
- space-group type = No. 221
- size of the total moment (μB per cell) = 0.0
- mass density (g/cm3) = 5.83

Structure (CIF):
```
data_ZnGa3N
_space_group_name_H-M_alt 'P 1'
_space_group_IT_number 1
_space_group_name_Hall 'P 1'
_cell_length_a 4.349
_cell_length_b 4.349
_cell_length_c 4.349
_cell_angle_alpha 90.00
_cell_angle_beta 90.00
_cell_angle_gamma 90.00
loop_
_atom_site_label
_atom_site_type_symbol
_atom_site_fract_x
_atom_site_fract_y
_atom_site_fract_z
Zn1 Zn 0.500 0.500 0.500
Ga1 Ga 0.000 0.500 0.000
Ga2 Ga 0.000 0.000 0.500
Ga3 Ga 0.500 0.000 0.000
N1 N 0.000 0.000 0.000
```

=====

Of them, (a) has the lowest stability.

=====

(a)
First-principles (GGA-PBE) data for a relaxed ZnGa2N crystal, as listed in the Alexandria database.

## Properties
- space-group type = No. 225
- size of the total moment (μB per cell) = 0.0
- mass density (g/cm3) = 6.05

Structure (CIF):
```
data_ZnGa2N
_space_group_name_H-M_alt 'P 1'
_space_group_IT_number 1
_space_group_name_Hall 'P 1'
_cell_length_a 4.397
_cell_length_b 4.397
_cell_length_c 4.397
_cell_angle_alpha 60.00
_cell_angle_beta 60.00
_cell_angle_gamma 60.00
loop_
_atom_site_label
_atom_site_type_symbol
_atom_site_fract_x
_atom_site_fract_y
_atom_site_fract_z
Zn1 Zn 0.500 0.500 0.500
Ga1 Ga 0.250 0.250 0.250
Ga2 Ga 0.750 0.750 0.750
N1 N 0.000 0.000 0.000
```

=====

(b)
First-principles (GGA-PBE) data for a relaxed ZnGa2N crystal, as listed in the Alexandria database.

## Properties
- space-group type = No. 122
- size of the total moment (μB per cell) = 0.0
- mass density (g/cm3) = 5.43

Structure (CIF):
```
data_ZnGa2N
_space_group_name_H-M_alt 'P 1'
_space_group_IT_number 1
_space_group_name_Hall 'P 1'
_cell_length_a 5.561
_cell_length_b 5.561
_cell_length_c 5.849
_cell_angle_alpha 61.62
_cell_angle_beta 61.62
_cell_angle_gamma 90.00
loop_
_atom_site_label
_atom_site_type_symbol
_atom_site_fract_x
_atom_site_fract_y
_atom_site_fract_z
Zn1 Zn 0.000 0.000 0.000
Zn2 Zn 0.750 0.250 0.500
Ga1 Ga 0.548 0.125 0.250
Ga2 Ga 0.202 0.625 0.250
Ga3 Ga 0.375 0.452 0.750
Ga4 Ga 0.875 0.798 0.750
N1 N 0.500 0.500 0.000
N2 N 0.250 0.750 0.500
```

=====

Of them, (a) has the lowest stability.